! KBa2ZnRh, relaxed, DFT PBE; values from VASP
! Space-group type ... P4/mmm
&SYSTEM
  ibrav = 0, nat = 5, ntyp = 4
/
ATOMIC_SPECIES
Rh 102.91 Rh.upf
K 39.10 K.upf
Zn 65.41 Zn.upf
Ba 137.33 Ba.upf
ATOMIC_POSITIONS crystal
Rh 0.000 0.000 0.000
K 0.500 0.500 0.500
Zn 0.000 0.000 0.500
Ba 0.000 0.500 0.000
Ba 0.500 0.000 0.000
CELL_PARAMETERS angstrom
-2.732 0.678 5.454
-1.516 -5.948 -0.020
4.425 -1.136 2.358

! K2BaRu, relaxed, DFT PBE; values from VASP
! Energy above the lowest structure with this stoichiometry ... 263 meV per atom
! Space-group type ... P2/m
&SYSTEM
  ibrav = 0, nat = 4, ntyp = 3
/
ATOMIC_SPECIES
K 39.10 K.upf
Ba 137.33 Ba.upf
Ru 101.07 Ru.upf
ATOMIC_POSITIONS crystal
K 0.000 0.458 0.463
Ba 0.500 0.750 0.750
Ru 0.500 0.250 0.250
K 0.000 0.042 0.037
CELL_PARAMETERS angstrom
-2.580 5.227 -2.807
-3.893 -2.193 -0.505
-2.377 1.334 4.670

! KBaRu2, relaxed, DFT PBE; values from VASP
! Energy above the lowest structure with this stoichiometry ... 184 meV per atom
! Space-group type ... Pmm2
&SYSTEM
  ibrav = 0, nat = 4, ntyp = 3
/
ATOMIC_SPECIES
K 39.10 K.upf
Ru 101.07 Ru.upf
Ba 137.33 Ba.upf
ATOMIC_POSITIONS crystal
K 0.500 0.500 0.834
Ru 0.000 0.000 0.093
Ru 0.500 0.500 0.169
Ba 0.000 0.000 0.403
CELL_PARAMETERS angstrom
3.131 0.000 0.000
0.000 3.783 0.000
0.000 0.000 9.931

! KBa2Ru, relaxed, DFT PBE; values from VASP
! Energy above the lowest structure with this stoichiometry ... 379 meV per atom
! Space-group type ... C2/m
&SYSTEM
  ibrav = 0, nat = 4, ntyp = 3
/
ATOMIC_SPECIES
K 39.10 K.upf
Ru 101.07 Ru.upf
Ba 137.33 Ba.upf
ATOMIC_POSITIONS crystal
K 0.000 0.500 0.500
Ru 0.500 0.500 0.000
Ba 0.500 0.000 0.500
Ba 0.000 0.000 0.000
CELL_PARAMETERS angstrom
-0.095 -8.790 -2.652
3.578 4.011 -1.592
3.581 -2.792 0.996

! KBaRu2, relaxed, DFT PBE; values from VASP
! Energy above the lowest structure with this stoichiometry ... 773 meV per atom
! Space-group type ... I-4m2
&SYSTEM
  ibrav = 0, nat = 4, ntyp = 3
/
ATOMIC_SPECIES
K 39.10 K.upf
Ru 101.07 Ru.upf
Ba 137.33 Ba.upf
ATOMIC_POSITIONS crystal
K 0.750 0.250 0.500
Ru 0.000 0.000 0.000
Ru 0.250 0.750 0.500
Ba 0.500 0.500 0.000
CELL_PARAMETERS angstrom
-5.134 -0.451 0.203
0.184 -3.622 -3.668
2.803 -0.542 4.296

! K2BaRu, relaxed, DFT PBE; values from VASP
! Energy above the lowest structure with this stoichiometry ... 132 meV per atom
! Space-group type ... Imm2
&SYSTEM
  ibrav = 0, nat = 4, ntyp = 3
/
ATOMIC_SPECIES
Ru 101.07 Ru.upf
Ba 137.33 Ba.upf
K 39.10 K.upf
ATOMIC_POSITIONS crystal
Ru 0.448 0.448 0.000
Ba 0.325 0.825 0.500
K 0.707 0.207 0.500
K 0.020 0.020 0.000
CELL_PARAMETERS angstrom
6.740 0.124 0.063
1.747 6.511 -0.063
-3.469 -4.308 3.854

! KBa2Ru, relaxed, DFT PBE; values from VASP
! Energy above the lowest structure with this stoichiometry ... 0 meV per atom
! Space-group type ... P4/mmm
&SYSTEM
  ibrav = 0, nat = 4, ntyp = 3
/
ATOMIC_SPECIES
Ba 137.33 Ba.upf
K 39.10 K.upf
Ru 101.07 Ru.upf
ATOMIC_POSITIONS crystal
Ba 0.000 0.000 0.908
K 0.500 0.500 0.250
Ba 0.000 0.000 0.592
Ru 0.500 0.500 0.750
CELL_PARAMETERS angstrom
-3.542 1.444 -0.384
-0.925 -2.896 -2.355
-3.542 -6.270 9.102

! K2BaRu, relaxed, DFT PBE; values from VASP
! Energy above the lowest structure with this stoichiometry ... 407 meV per atom
! Space-group type ... Fm-3m
&SYSTEM
  ibrav = 0, nat = 4, ntyp = 3
/
ATOMIC_SPECIES
Ru 101.07 Ru.upf
Ba 137.33 Ba.upf
K 39.10 K.upf
ATOMIC_POSITIONS crystal
Ru 0.000 0.000 0.000
Ba 0.500 0.500 0.500
K 0.250 0.250 0.250
K 0.750 0.750 0.750
CELL_PARAMETERS angstrom
-0.078 -3.630 4.694
-4.911 -3.070 1.296
-0.121 -5.879 -0.798

Across the entries above, DFT total energy takes the values -13.9 -9.8 -19.1 -11.3 -16.8 -10.3 -12.8 -9.2 eV per cell, respectively.
Across the entries above, E_form takes the values -0.058 0.897 0.615 0.742 1.204 0.766 0.362 1.041 eV/atom, respectively.